(1)
{"formula": "Cd2ReW", "functional": "PBE", "state": "optimized geometry", "delta_e_f_ev_per_atom": 0.623, "space_group": "Imm2 (44)", "lattice_angstrom": [[5.507, -0.012, 0.003], [2.391, 4.961, -0.003], [-3.349, -3.432, 2.709]], "species": ["Re", "W", "Cd", "Cd"], "frac_coords": [[0.474, 0.474, 0.000], [0.277, 0.777, 0.500], [0.740, 0.240, 0.500], [0.008, 0.008, 0.000]]}


(2)
{"formula": "BaAl2Ir", "functional": "PBE", "state": "optimized geometry", "delta_e_f_ev_per_atom": -0.012, "space_group": "C2 (5)", "lattice_angstrom": [[-0.786, -5.337, -0.431], [1.511, -0.748, 5.142], [-4.264, 2.837, -2.020]], "species": ["Ba", "Al", "Al", "Ir"], "frac_coords": [[0.499, 0.499, 0.000], [0.048, 0.048, 0.000], [0.823, 0.323, 0.500], [0.130, 0.630, 0.500]]}


(3)
{"formula": "Ca4HgPbAu2", "functional": "PBE", "state": "optimized geometry", "delta_e_f_ev_per_atom": -0.652, "space_group": "R-3m (166)", "lattice_angstrom": [[-0.346, 5.188, 0.882], [-0.702, 1.799, 4.908], [8.324, 2.721, 3.027]], "species": ["Ca", "Ca", "Ca", "Ca", "Hg", "Au", "Au", "Pb"], "frac_coords": [[0.125, 0.125, 0.624], [0.376, 0.376, 0.871], [0.624, 0.624, 0.129], [0.875, 0.875, 0.376], [0.500, 0.500, 0.500], [0.247, 0.247, 0.259], [0.753, 0.753, 0.741], [0.000, 0.000, 0.000]]}


(4)
{"formula": "Al2GePdPb", "functional": "PBE", "state": "optimized geometry", "delta_e_f_ev_per_atom": 1.223, "space_group": "P4/mmm (123)", "lattice_angstrom": [[5.262, 0.000, 0.000], [0.000, 5.388, 0.000], [0.000, 0.000, 5.262]], "species": ["Al", "Al", "Ge", "Pb", "Pd"], "frac_coords": [[0.500, 0.000, 0.000], [0.000, 0.000, 0.500], [0.000, 0.500, 0.000], [0.000, 0.000, 0.000], [0.500, 0.500, 0.500]]}


(5)
{"formula": "Ho5Cu2Hg", "functional": "PBE", "state": "optimized geometry", "delta_e_f_ev_per_atom": -0.236, "space_group": "I4/mcm (140)", "lattice_angstrom": [[7.851, 0.000, 0.000], [0.000, 7.851, 0.000], [-3.926, -3.926, 6.403]], "species": ["Ho", "Ho", "Ho", "Ho", "Ho", "Ho", "Ho", "Ho", "Ho", "Ho", "Cu", "Cu", "Cu", "Cu", "Hg", "Hg"], "frac_coords": [[0.485, 0.299, 0.284], [0.701, 0.201, 0.716], [0.299, 0.799, 0.284], [0.799, 0.985, 0.284], [0.500, 0.500, 0.000], [0.201, 0.015, 0.716], [0.515, 0.701, 0.716], [0.985, 0.485, 0.284], [0.000, 0.000, 0.000], [0.015, 0.515, 0.716], [0.872, 0.628, 0.000], [0.128, 0.372, 0.000], [0.628, 0.128, 0.000], [0.372, 0.872, 0.000], [0.250, 0.250, 0.500], [0.750, 0.750, 0.500]]}


(6)
{"formula": "Nd4PtBr5", "functional": "PBE", "state": "optimized geometry", "raw_formation_energy_ev_per_fu": -15.35, "space_group": "C2/m (12)", "lattice_angstrom": [[-0.797, 1.790, 3.677], [-7.628, -4.403, 0.491], [6.687, -6.764, 2.383]], "species": ["Nd", "Nd", "Nd", "Nd", "Br", "Br", "Br", "Br", "Br", "Pt"], "frac_coords": [[0.999, 0.779, 0.998], [0.001, 0.221, 0.002], [0.653, 0.086, 0.306], [0.347, 0.914, 0.694], [0.500, 0.500, 0.000], [0.832, 0.663, 0.664], [0.168, 0.337, 0.336], [0.173, 0.844, 0.346], [0.827, 0.156, 0.654], [0.500, 0.000, 0.000]]}


| no. | M_tot (μB/atom) | Fermi-level density of states (states/eV/f.u.) |
| --- | --- | --- |
| 1 | 0.000 | 2.1 |
| 2 | 0.000 | 3.4 |
| 3 | 0.000 | 5.0 |
| 4 | 0.000 | 3.1 |
| 5 | 0.000 | 9.6 |
| 6 | 0.000 | 6.2 |